No. 1
{"formula": "NbZnPt", "functional": "PBE", "state": "relaxed", "ef_mev_per_atom": -60, "spacegroup": "Immm (71)", "total_energy_ev_per_atom": -5.855, "total_magnetization_mub_per_atom": 0.000, "lattice": [[5.121, 0.000, 0.000], [0.000, 2.725, 0.000], [-2.560, -1.363, 7.323]], "species": ["Pt", "Zn", "Nb", "Zn", "Nb", "Pt"], "fractional_positions": [[0.836, 0.336, 0.671], [0.656, 0.156, 0.312], [0.749, 0.500, 0.000], [0.344, 0.844, 0.688], [0.251, 0.500, 0.000], [0.164, 0.664, 0.329]]}

***

No. 2
{"formula": "BeCr2Tc", "functional": "PBE", "state": "relaxed", "ef_mev_per_atom": 60, "spacegroup": "Pm (6)", "total_energy_ev_per_atom": -8.275, "total_magnetization_mub_per_atom": 0.000, "lattice": [[-2.956, 2.083, 1.570], [-1.634, -1.748, -0.756], [-0.034, -2.954, 3.855]], "species": ["Cr", "Tc", "Cr", "Be"], "fractional_positions": [[0.000, 0.024, 0.994], [0.000, 0.465, 0.511], [0.500, 0.233, 0.237], [0.500, 0.777, 0.757]]}

***

No. 3
{"formula": "NbGa2AsPb", "functional": "PBE", "state": "relaxed", "ef_mev_per_atom": 1281, "spacegroup": "P4/mmm (123)", "total_energy_ev_per_atom": -3.615, "total_magnetization_mub_per_atom": 0.458, "lattice": [[-4.267, -1.596, 2.589], [-1.659, -2.835, -4.482], [2.608, -4.214, 1.701]], "species": ["Ga", "Pb", "Nb", "Ga", "As"], "fractional_positions": [[0.000, 0.000, 0.500], [0.000, 0.000, 0.000], [0.000, 0.500, 0.000], [0.500, 0.000, 0.000], [0.500, 0.500, 0.500]]}

***

No. 4
{"formula": "Pm2BiI", "functional": "PBE", "state": "relaxed", "spacegroup": "Fm-3m (225)", "total_energy_ev_per_atom": -4.565, "raw_formation_energy_ev_per_atom": -0.832, "relative_energy_mev_per_atom": 21, "total_magnetization_mub_per_atom": 0.074, "lattice": [[5.552, 0.000, 0.000], [2.776, 4.808, 0.000], [2.776, 1.603, 4.533]], "species": ["I", "Pm", "Pm", "Bi"], "fractional_positions": [[0.500, 0.500, 0.500], [0.250, 0.250, 0.250], [0.750, 0.750, 0.750], [0.000, 0.000, 0.000]]}

***

No. 5
{"formula": "TmAsS3", "functional": "PBE", "state": "relaxed", "spacegroup": "R-3 (148)", "total_energy_ev_per_atom": -5.284, "raw_formation_energy_ev_per_atom": -0.983, "relative_energy_mev_per_atom": 55, "total_magnetization_mub_per_atom": 0.000, "lattice": [[6.593, 0.000, 0.000], [3.297, 5.710, 0.000], [3.296, 1.903, 6.586]], "species": ["S", "S", "S", "S", "As", "S", "Tm", "S", "Tm", "As"], "fractional_positions": [[0.064, 0.756, 0.767], [0.413, 0.064, 0.767], [0.756, 0.413, 0.767], [0.244, 0.587, 0.233], [0.121, 0.121, 0.638], [0.587, 0.936, 0.233], [0.340, 0.340, 0.980], [0.936, 0.244, 0.233], [0.660, 0.660, 0.020], [0.879, 0.879, 0.362]]}

***

No. 6
{"formula": "MgTeCl2", "functional": "PBE", "state": "relaxed", "spacegroup": "P4/mmm (123)", "total_energy_ev_per_atom": -3.105, "raw_formation_energy_ev_per_atom": -0.997, "relative_energy_mev_per_atom": 196, "total_magnetization_mub_per_atom": 0.000, "lattice": [[3.159, 0.000, 0.000], [0.000, 3.159, 0.000], [0.000, 0.000, 11.730]], "species": ["Cl", "Te", "Mg", "Cl"], "fractional_positions": [[0.000, 0.000, 0.121], [0.500, 0.500, 0.750], [0.500, 0.500, 0.250], [0.000, 0.000, 0.379]]}